Version 1
DFT (GGA-PBE) results for TiV6Re after structural relaxation.

Values from the calculation:
Its density of states at the Fermi level is 9.9 states/eV/cell.

Cell: 5.3986 5.3986 5.3986 Å, 110.84 110.84 110.84°
Fractional coordinates of all 8 atoms:
Ti 0.0000 0.0000 0.0000
V 0.2514 0.2514 0.7464
V 0.2514 0.7464 0.2514
V 0.2536 0.7486 0.7486
V 0.7464 0.2514 0.2514
V 0.7486 0.2536 0.7486
V 0.7486 0.7486 0.2536
Re 0.5000 0.5000 0.5000



Version 2
DFT (GGA-PBE) results for TiV6Re after structural relaxation.

Values from the calculation:
Its density of states at the Fermi level is 12.0 states/eV/cell.

Cell: 4.2798 5.2584 5.2584 Å, 70.96 90.00 90.00°
Fractional coordinates of all 8 atoms:
Ti 0.0000 0.0000 0.0000
V 0.0000 0.4907 0.4907
V 0.0000 0.4965 0.9945
V 0.0000 0.9945 0.4965
V 0.5000 0.2417 0.2417
V 0.5000 0.2537 0.7342
V 0.5000 0.7342 0.2537
Re 0.5000 0.7460 0.7460



Relative energies with respect to the most stable structure, expressed in kJ/mol of atoms: version 1 20.1; version 2 0.0.



Version 1
DFT (GGA-PBE) results for Ti2V2Re after structural relaxation.

Values from the calculation:
Its density of states at the Fermi level is 8.0 states/eV/cell.

Cell: 6.5817 6.5817 3.5718 Å, 90.00 90.00 90.00°
Fractional coordinates of all 10 atoms:
Ti 0.1669 0.3331 0.0000
Ti 0.3331 0.8331 0.0000
Ti 0.6669 0.1669 0.0000
Ti 0.8331 0.6669 0.0000
V 0.1405 0.6405 0.5000
V 0.3595 0.1405 0.5000
V 0.6405 0.8595 0.5000
V 0.8595 0.3595 0.5000
Re 0.0000 0.0000 0.5000
Re 0.5000 0.5000 0.5000



Version 2
DFT (GGA-PBE) results for Ti2V2Re after structural relaxation.

Values from the calculation:
Its density of states at the Fermi level is 6.9 states/eV/cell.

Cell: 5.1692 5.1692 5.1692 Å, 135.96 119.65 77.67°
Fractional coordinates of all 5 atoms:
Ti 0.2028 0.2028 0.0000
Ti 0.7972 0.7972 0.0000
V 0.2312 0.5000 0.7312
V 0.7688 0.5000 0.2688
Re 0.5000 0.0000 0.5000



Version 3
DFT (GGA-PBE) results for Ti2V2Re after structural relaxation.

Values from the calculation:
Its density of states at the Fermi level is 5.8 states/eV/cell.

Cell: 4.3707 4.3707 5.1981 Å, 115.00 115.00 59.99°
Fractional coordinates of all 5 atoms:
Ti 0.1019 0.1019 0.3063
Ti 0.8981 0.8981 0.6937
V 0.3138 0.3138 0.9404
V 0.6862 0.6862 0.0596
Re 0.5000 0.5000 0.5000



Relative energies with respect to the most stable structure, expressed in kJ/mol of atoms: version 1 35.9; version 2 36.5; version 3 0.0.